Computed, not measured: an optimized crystal structure of Sr2Ni3Sn4Pd at the PBE-GGA level of DFT.

As for the density of states at the Fermi level: 7.197 states/eV per cell. As for the formation enthalpy at 0 K: -0.480 eV per atom. The calculation puts the total energy at -4.67 eV per atom.

The structure belongs to space group P-4m2 (No. 115); the cell edges are 4.5611, 4.5611 and 10.5396 Å and the angles 90.00°, 90.00° and 90.00°. The inequivalent atoms are Sr at (0.0000, 0.5000, 0.2458), Ni at (0.0000, 0.0000, 0.0000), Ni at (0.0000, 0.5000, 0.6262), Sn at (0.0000, 0.0000, 0.5000), Sn at (0.0000, 0.5000, 0.8725), Sn at (0.5000, 0.5000, 0.5000) and Pd at (0.5000, 0.5000, 0.0000).